Here is a relaxed BeRh3Au crystal from the Alexandria database. Energies are from PBE-GGA.

The structure in POSCAR format:
```
BeRh3Au
1.0
4.8544 0.0000 0.0000
0.0000 4.8544 0.0000
0.0000 0.0000 4.8544
Be Rh Au
1 3 1
Cartesian
0.0000 0.0000 0.0000
0.0000 2.4272 2.4272
2.4272 0.0000 2.4272
2.4272 2.4272 0.0000
2.4272 2.4272 2.4272
```

Output
Offset from the most stable computed form, eV/atom: 1.711
E, eV per atom: -3.84

=====

Here is a relaxed Be4Rh3Au crystal from the Alexandria database. Energies are from PBE-GGA.

The structure in POSCAR format:
```
Be4Rh3Au
1.0
2.8462 0.0000 0.0000
0.0000 2.8462 0.0000
0.0000 0.0000 11.1957
Be Rh Au
4 3 1
Cartesian
0.0000 0.0000 1.3422
0.0000 0.0000 3.9050
0.0000 0.0000 7.2908
0.0000 0.0000 9.8536
1.4231 1.4231 0.0000
1.4231 1.4231 2.7551
1.4231 1.4231 8.4406
1.4231 1.4231 5.5979
```

Output
E, eV per atom: -5.59

=====

Here is a relaxed BeRh2Au crystal from the Alexandria database. Energies are from PBE-GGA.

The structure in POSCAR format:
```
BeRh2Au
1.0
3.9064 0.0000 0.0000
0.0000 3.9064 0.0000
0.0000 0.0000 3.6721
Be Rh Au
1 2 1
Cartesian
0.0000 0.0000 0.0000
0.0000 1.9532 1.8360
1.9532 0.0000 1.8360
1.9532 1.9532 0.0000
```

Output
E, eV per atom: -5.39

=====

Here is a relaxed Be3RhAu2 crystal from the Alexandria database. Energies are from PBE-GGA.

The structure in POSCAR format:
```
Be3RhAu2
1.0
2.8648 0.0000 0.0000
0.0000 2.8648 0.0000
0.0000 0.0000 8.9995
Be Rh Au
3 1 2
Cartesian
0.0000 0.0000 0.0000
0.0000 0.0000 3.2619
0.0000 0.0000 5.7376
1.4324 1.4324 4.4997
1.4324 1.4324 1.5721
1.4324 1.4324 7.4274
```

Output
E, eV per atom: -4.51

=====

Here is a relaxed BeRh2Au crystal from the Alexandria database. Energies are from PBE-GGA.

The structure in POSCAR format:
```
BeRh2Au
1.0
2.6309 -4.5408 0.0000
2.6309 4.5408 0.0000
-1.3611 0.0000 2.3970
Be Rh Au
1 2 1
Cartesian
0.0000 0.0000 0.0000
0.6349 2.2704 1.1985
0.6349 -2.2704 1.1985
2.6309 0.0000 0.0000
```

Output
E, eV per atom: -5.30

=====

Here is a relaxed BeRh2Au crystal from the Alexandria database. Energies are from PBE-GGA.

The structure in POSCAR format:
```
BeRh2Au
1.0
2.7837 0.0000 0.0000
0.0000 3.4561 0.0000
-1.3713 0.0000 5.8331
Be Rh Au
1 2 1
Cartesian
0.0000 0.0000 0.0000
-0.0035 0.0000 2.3550
1.3862 1.7281 0.7628
1.3918 1.7281 4.1204
```

Output
E, eV per atom: -5.49

=====

Here is a relaxed Be3RhAu crystal from the Alexandria database. Energies are from PBE-GGA.

The structure in POSCAR format:
```
Be3RhAu
1.0
4.2004 0.0000 0.0000
0.0000 4.2004 0.0000
0.0000 0.0000 4.2004
Be Rh Au
3 1 1
Cartesian
0.0000 0.0000 2.1002
0.0000 2.1002 0.0000
2.1002 0.0000 0.0000
2.1002 2.1002 2.1002
0.0000 0.0000 0.0000
```

Output
Offset from the most stable computed form, eV/atom: 0.273
E, eV per atom: -3.73

=====

Here is a relaxed Be3RhAu crystal from the Alexandria database. Energies are from PBE-GGA.

The structure in POSCAR format:
```
Be3RhAu
1.0
4.1440 0.0000 0.0000
0.0000 4.1440 0.0000
0.0000 0.0000 4.1440
Be Rh Au
3 1 1
Cartesian
0.0000 0.0000 2.0720
0.0000 2.0720 0.0000
2.0720 0.0000 0.0000
0.0000 0.0000 0.0000
2.0720 2.0720 2.0720
```

Output
Offset from the most stable computed form, eV/atom: 0.000
E, eV per atom: -4.00

=====

Here is a relaxed Be2Rh2Au crystal from the Alexandria database. Energies are from PBE-GGA.

The structure in POSCAR format:
```
Be2Rh2Au
1.0
-1.4725 1.4725 7.4649
1.4725 -1.4725 7.4649
1.4725 1.4725 -7.4649
Be Rh Au
2 2 1
Cartesian
1.4725 0.0000 3.7325
0.0000 1.4725 3.7325
0.0000 0.0000 1.9926
0.0000 0.0000 12.9372
0.0000 0.0000 7.4649
```

Output
Offset from the most stable computed form, eV/atom: 0.313
E, eV per atom: -5.18

=====

Here is a relaxed BeRh2Au crystal from the Alexandria database. Energies are from PBE-GGA.

The structure in POSCAR format:
```
BeRh2Au
1.0
2.8011 0.0000 0.0000
0.0000 2.8011 0.0000
0.0000 0.0000 6.9113
Be Rh Au
1 2 1
Cartesian
0.0000 0.0000 0.0000
0.0000 0.0000 3.1726
1.4006 1.4006 1.2983
1.4006 1.4006 5.3024
```

Output
E, eV per atom: -5.57

=====

Here is a relaxed Be2Rh2Au crystal from the Alexandria database. Energies are from PBE-GGA.

The structure in POSCAR format:
```
Be2Rh2Au
1.0
6.3958 0.0000 0.0000
0.0000 6.3958 0.0000
0.0000 0.0000 2.9938
Be Rh Au
4 4 2
Cartesian
0.8168 2.3811 0.0000
2.3811 5.5790 0.0000
4.0147 0.8168 0.0000
5.5790 4.0147 0.0000
1.0291 4.2270 1.4969
2.1687 1.0291 1.4969
4.2270 5.3666 1.4969
5.3666 2.1687 1.4969
0.0000 0.0000 0.0000
3.1979 3.1979 0.0000
```

Output
Offset from the most stable computed form, eV/atom: 0.000
E, eV per atom: -5.49

=====

Here is a relaxed BeRh2Au crystal from the Alexandria database. Energies are from PBE-GGA.

The structure in POSCAR format:
```
BeRh2Au
1.0
2.8254 0.0000 0.0000
0.0000 3.8096 0.0000
-1.1451 0.0000 5.1910
Be Rh Au
1 2 1
Cartesian
0.0000 0.0000 0.0000
0.7714 1.9048 1.1059
0.9089 1.9048 4.0852
-0.5726 0.0000 2.5955
```

Output
E, eV per atom: -5.49

=====

Here is a relaxed BeRhAu3 crystal from the Alexandria database. Energies are from PBE-GGA.

The structure in POSCAR format:
```
BeRhAu3
1.0
5.0040 0.0000 0.0000
0.0000 5.0040 0.0000
0.0000 0.0000 5.0040
Be Rh Au
1 1 3
Cartesian
0.0000 0.0000 0.0000
2.5020 2.5020 2.5020
0.0000 2.5020 2.5020
2.5020 0.0000 2.5020
2.5020 2.5020 0.0000
```

Output
Offset from the most stable computed form, eV/atom: 0.995
E, eV per atom: -2.82

=====

Here is a relaxed BeRh3Au crystal from the Alexandria database. Energies are from PBE-GGA.

The structure in POSCAR format:
```
BeRh3Au
1.0
4.1627 0.0000 0.0000
0.0000 4.1627 0.0000
0.0000 0.0000 4.1627
Be Rh Au
1 3 1
Cartesian
0.0000 0.0000 0.0000
0.0000 0.0000 2.0813
0.0000 2.0813 0.0000
2.0813 0.0000 0.0000
2.0813 2.0813 2.0813
```

Output
Offset from the most stable computed form, eV/atom: 0.000
E, eV per atom: -5.55

=====

| no. | ΔE_f (kcal/mol of atoms) | calculated density (Mg/m³) | total magnetization (Bohr magnetons per cell) |
| --- | --- | --- | --- |
| 1 | 45.40 | 7.5 | 2.51 |
| 2 | -12.83 | 9.9 | 0.00 |
| 3 | 0.92 | 12.2 | 0.00 |
| 4 | -7.59 | 11.8 | 0.00 |
| 5 | 2.88 | 11.9 | 0.00 |
| 6 | -1.40 | 12.2 | 0.00 |
| 7 | 14.54 | 7.3 | 0.00 |
| 8 | 8.25 | 7.6 | 0.00 |
| 9 | -2.12 | 10.8 | 0.00 |
| 10 | -3.39 | 12.6 | 1.03 |
| 11 | -9.34 | 11.4 | 0.00 |
| 12 | -1.42 | 12.2 | 0.00 |
| 13 | 31.30 | 9.3 | 1.06 |
| 14 | 5.95 | 11.8 | 0.47 |